Record 1
# Hf4BeSi

A relaxed Hf4BeSi crystal (PBE, Alexandria).

Total magnetization in μB per cell: 0.00
Raw formation energy in eV per atom: -0.3947
Polymorph energy (0 for the lowest one) in meV/atom: 0
Energy in eV/cell: -102.66

Cell lengths 6.5394, 6.5394, 5.1371 Å; angles 90.00, 90.00, 90.00 degrees
Closest atoms and distances in Å follow each position.
Space group I422 (No. 97)
Asymmetric unit:
Hf  0.1566  0.3434  0.2500 (multiplicity 8)  2 Be 2.78, 2 Si 2.78, 3 Hf 2.90-3.10
Be  0.0000  0.0000  0.5000 (multiplicity 2)  2 Si 2.57, 8 Hf 2.78
Si  0.0000  0.0000  0.0000 (multiplicity 2)  2 Be 2.57, 8 Hf 2.78

=====

Record 2
# Hf2ZrI8

A relaxed Hf2ZrI8 crystal (PBE, Alexandria).

Total magnetization in μB per cell: 0.00
Raw formation energy in eV per atom: -0.6758
Energy in eV/cell: -96.58

Cell lengths 13.1489, 12.0130, 6.9251 Å; angles 90.00, 95.96, 90.00 degrees
Closest atoms and distances in Å follow each position.
Space group C2/m (No. 12)
Asymmetric unit:
Hf  0.1691  0.0000  0.3178 (multiplicity 4)  4 I 2.71-2.80, 1 Zr 2.96
Zr  0.0000  0.0000  0.0000 (multiplicity 2)  2 Hf 2.96, 6 I 3.03-3.11
I  0.0973  0.2075  0.2148 (multiplicity 8)  1 Hf 2.73
I  0.1333  0.5000  0.7592 (multiplicity 4)  1 Hf 2.71
I  0.1625  0.0000  0.7201 (multiplicity 4)  1 Hf 2.80, 1 Zr 3.03

=====

Record 3
# TcRuAu4

A relaxed TcRuAu4 crystal (PBE, Alexandria).

Total magnetization in μB per cell: 6.24
Formation energy from the elements in eV per atom: 0.792
Energy in eV/cell: -112.00

Cell lengths 7.6098, 7.6098, 7.6098 Å; angles 90.00, 90.00, 90.00 degrees
Closest atoms and distances in Å follow each position.
Space group F-43m (No. 216)
Asymmetric unit:
Tc  0.0000  0.0000  0.0000 (multiplicity 4)  12 Au 3.15, 4 Ru 3.30
Ru  0.2500  0.2500  0.2500 (multiplicity 4)  12 Au 3.15, 4 Tc 3.30
Au  0.1249  0.1249  0.6249 (multiplicity 16)  6 Au 2.69

=====

Look up the energy of the third one. -112.00 eV/cell

=====

What is the total magnetization in the first record? 0.00 μB per cell